First-principles (PBE+U) data for a geometry-optimized Ba3CaMo2O9 structure, as listed in Alexandria.

a = 5.9877 Å, b = 5.9877 Å, c = 7.2708 Å
α = 90.00°, β = 90.00°, γ = 120.00°
Space group P-3m1 (No. 164)
Unique sites:
Ba  0.0000  0.0000  0.0000 x1
Ba  0.3333  0.6667  0.6748 x2
Ca  0.0000  0.0000  0.5000 x1
Mo  0.3333  0.6667  0.1675 x2
O  0.0000  0.5000  0.0000 x3
O  0.1766  0.3532  0.3114 x6

Properties
Total energy in eV/atom: -6.8709
Spin magnetization in μB/cell: 2.00
Volume in Å³ per cell: 225.75